Computed, not measured: a relaxed structure of Tl2NiP at the GGA-PBE level of DFT.

The calculation puts the volume at 21.02 Å³/atom. The raw total energy comes out at -3.474 eV/atom. Its polymorph energy (0 for the lowest one) is 652.3 meV per atom. As for the density: 9.85 g cm⁻³.

The space group is P2/m (No. 10) and the conventional cell measures 4.0714, 3.6510 and 5.9969 Å, with angles of 90.00, 109.43 and 90.00 degrees. Symmetry generates all atoms from Tl at (0.0333, 0.0000, 0.2577), Ni at (0.5000, 0.5000, 0.5000) and P at (0.5000, 0.5000, 0.0000).